No. 1
KSnN3: relaxed, PBE.

POSCAR file:
```
KSnN3
1.0
8.161 0.000 0.000
-4.080 7.067 0.000
0.000 0.000 7.376
K Sn N
2 2 6
Cartesian
0.000 4.712 1.373
4.080 2.356 6.003
0.000 4.712 5.019
4.080 2.356 2.357
-1.549 3.818 3.483
1.549 3.818 3.483
0.000 6.500 3.483
4.080 0.568 3.893
2.532 3.250 3.893
5.629 3.250 3.893
```

Fermi-level density of states (states/eV/cell): 0.41
Energy relative to the elements, uncorrected (eV/atom): 0.331
Calculated total energy (eV/atom): -5.68
Crystal system: trigonal

No. 2
KSnN: relaxed, PBE.

POSCAR file:
```
KSnN
1.0
3.464 0.000 0.000
-1.732 3.000 0.000
0.000 0.000 12.217
K Sn N
2 2 2
Cartesian
0.000 2.000 0.000
1.732 1.000 6.109
0.000 0.000 2.978
0.000 0.000 9.087
0.000 2.000 8.032
1.732 1.000 1.923
```

Fermi-level density of states (states/eV/cell): 0.00
Energy relative to the elements, uncorrected (eV/atom): -0.025
Calculated total energy (eV/atom): -4.50
Crystal system: hexagonal

No. 3
KSn3N: relaxed, PBE.

POSCAR file:
```
KSn3N
1.0
5.894 0.000 0.000
0.000 5.894 0.000
0.000 0.000 5.894
K Sn N
1 3 1
Cartesian
0.000 0.000 0.000
0.000 0.000 2.947
0.000 2.947 0.000
2.947 0.000 0.000
2.947 2.947 2.947
```

Fermi-level density of states (states/eV/cell): 8.39
Energy relative to the elements, uncorrected (eV/atom): 2.346
Calculated total energy (eV/atom): -1.94
Polymorph energy (0 for the lowest one) (eV per atom): 1.878
Crystal system: cubic

No. 4
KSn3N: relaxed, PBE.

POSCAR file:
```
KSn3N
1.0
5.031 0.000 0.000
0.000 5.031 0.000
0.000 0.000 5.031
K Sn N
1 3 1
Cartesian
0.000 0.000 0.000
0.000 2.516 2.516
2.516 0.000 2.516
2.516 2.516 0.000
2.516 2.516 2.516
```

Fermi-level density of states (states/eV/cell): 4.28
Energy relative to the elements, uncorrected (eV/atom): 0.468
Calculated total energy (eV/atom): -3.82
Polymorph energy (0 for the lowest one) (eV per atom): 0.000
Crystal system: cubic

No. 5
KSn2N: relaxed, PBE.

POSCAR file:
```
KSn2N
1.0
-3.412 3.412 5.258
3.412 -3.412 5.258
3.412 3.412 -5.258
K Sn N
2 4 2
Cartesian
0.000 0.000 0.000
0.000 3.412 2.629
1.706 -0.744 3.944
2.668 1.706 1.315
1.706 4.155 -1.315
0.744 1.706 6.573
3.412 0.000 2.629
0.000 0.000 5.258
```

Fermi-level density of states (states/eV/cell): 1.26
Energy relative to the elements, uncorrected (eV/atom): 0.437
Calculated total energy (eV/atom): -3.92
Crystal system: tetragonal

No. 6
K2SnN6: relaxed, PBE.

POSCAR file:
```
K2SnN6
1.0
3.221 1.860 5.199
-3.221 1.860 5.199
0.000 -3.719 5.199
K Sn N
2 1 6
Cartesian
0.000 0.000 3.878
0.000 0.000 11.721
0.000 0.000 7.799
0.000 -1.773 6.550
-1.536 0.887 6.550
-1.536 -0.887 9.048
1.536 0.887 6.550
1.536 -0.887 9.048
0.000 1.773 9.048
```

Fermi-level density of states (states/eV/cell): 4.14
Energy relative to the elements, uncorrected (eV/atom): 2.150
Calculated total energy (eV/atom): -4.09
Crystal system: trigonal

No. 7
K2SnN: relaxed, PBE.

POSCAR file:
```
K2SnN
1.0
0.000 3.842 3.842
3.842 0.000 3.842
3.842 3.842 0.000
K Sn N
2 1 1
Cartesian
1.921 1.921 1.921
5.762 5.762 5.762
0.000 0.000 0.000
3.842 3.842 3.842
```

Fermi-level density of states (states/eV/cell): 3.41
Energy relative to the elements, uncorrected (eV/atom): 1.073
Calculated total energy (eV/atom): -2.56
Crystal system: cubic

No. 8
K3SnN: relaxed, PBE.

POSCAR file:
```
K3SnN
1.0
5.597 0.000 0.000
0.000 5.597 0.000
0.000 0.000 5.597
K Sn N
3 1 1
Cartesian
0.000 0.000 2.798
0.000 2.798 0.000
2.798 0.000 0.000
2.798 2.798 2.798
0.000 0.000 0.000
```

Fermi-level density of states (states/eV/cell): 22.48
Energy relative to the elements, uncorrected (eV/atom): 0.610
Calculated total energy (eV/atom): -2.51
Polymorph energy (0 for the lowest one) (eV per atom): 0.000
Crystal system: cubic

No. 9
KSnN: relaxed, PBE.

POSCAR file:
```
KSnN
1.0
6.470 0.000 0.000
0.000 3.526 0.000
-1.939 0.000 6.584
K Sn N
2 2 2
Cartesian
0.519 0.882 1.640
4.012 2.645 4.944
0.725 0.882 5.362
3.806 2.645 1.223
0.063 2.645 6.530
4.467 0.882 0.054
```

Energy relative to the elements, uncorrected (eV/atom): -0.052
Calculated total energy (eV/atom): -4.53
Crystal system: monoclinic

No. 10
KSnN3: relaxed, PBE.

POSCAR file:
```
KSnN3
1.0
6.116 0.000 0.000
-3.058 5.296 0.000
0.000 0.000 6.880
K Sn N
2 2 6
Cartesian
0.000 3.531 0.000
3.058 1.765 0.000
0.000 3.531 3.440
3.058 1.765 3.440
-1.318 2.282 4.672
-1.740 3.014 2.208
2.635 0.000 4.672
1.318 2.282 2.208
3.480 0.000 2.208
1.740 3.014 4.672
```

Fermi-level density of states (states/eV/cell): 5.30
Energy relative to the elements, uncorrected (eV/atom): 1.309
Calculated total energy (eV/atom): -4.71
Crystal system: trigonal

No. 11
KSnN3: relaxed, PBE.

POSCAR file:
```
KSnN3
1.0
4.701 0.000 0.000
0.000 4.701 0.000
0.000 0.000 4.701
K Sn N
1 1 3
Cartesian
0.000 0.000 0.000
2.351 2.351 2.351
0.000 0.000 2.351
0.000 2.351 0.000
2.351 0.000 0.000
```

Fermi-level density of states (states/eV/cell): 1.19
Energy relative to the elements, uncorrected (eV/atom): 2.655
Calculated total energy (eV/atom): -3.36
Crystal system: cubic

No. 12
KSnN: relaxed, PBE.

POSCAR file:
```
KSnN
1.0
3.501 -3.826 0.000
3.501 3.826 0.000
-0.841 0.000 3.232
K Sn N
1 1 1
Cartesian
0.000 0.000 0.000
2.852 0.000 2.334
4.503 0.000 1.040
```

Energy relative to the elements, uncorrected (eV/atom): 0.152
Calculated total energy (eV/atom): -4.32
Crystal system: monoclinic